SmZnHg2 | Alexandria | PBE-GGA | relaxed; total DFT energy (no corrections) = -1.969 eV per atom; energy above the most stable polymorph in this dataset = 0.0 meV per atom; E_form = -320 meV per atom
1.0
5.064 0.000 0.000
2.532 4.386 0.000
2.532 1.462 4.135
Hg Sm Zn
2 1 1
direct
0.750 0.750 0.750
0.250 0.250 0.250
0.500 0.500 0.500
0.000 0.000 0.000